Entry 1:
Compound: CaSm2Hg7
Source: the Alexandria database
Functional: PBE
Structure: optimized geometry

Space-group type: P3m1 (156)
Calculated formation energy in kJ/mol of formula units: -291.4
Size of the total moment in Bohr magnetons per cell: 0.00

Structure (extended XYZ):
```
10
Lattice="-1.6218 4.7139 1.1190 -0.8152 -3.8286 3.2833 10.5247 2.3503 5.3535" Properties=species:S:1:pos:R:3 pbc="T T T"
Ca 10.1726 2.2716 5.1744
Hg 2.7127 0.6058 1.3799
Sm 2.8653 2.8084 3.9861
Hg -0.3975 2.0797 2.3264
Hg 5.5495 1.2393 2.8228
Hg 8.1037 1.0706 7.2354
Hg 0.1592 -0.7035 3.1943
Sm 5.5173 0.4930 5.9198
Hg 6.6431 3.6520 5.9077
Hg 2.7280 -0.1298 4.5010
```


Entry 2:
Compound: Pm6AlAg5
Source: the Alexandria database
Functional: PBE
Structure: optimized geometry

Space-group type: P2/m (10)
Calculated formation energy in kJ/mol of formula units: -328.0
Size of the total moment in Bohr magnetons per cell: 0.00

Structure (extended XYZ):
```
12
Lattice="5.1504 0.0021 -1.0711 -0.0033 7.4960 -0.0008 -0.9532 0.0005 8.2671" Properties=species:S:1:pos:R:3 pbc="T T T"
Pm 0.5345 5.6379 2.5793
Ag 1.1104 7.4970 5.2604
Ag 3.0836 0.0016 1.9349
Al 0.0000 0.0000 0.0000
Pm 2.5728 5.6055 -0.5361
Ag 3.1116 3.7495 2.0597
Pm 0.5361 1.8589 2.5797
Pm 1.6212 1.8930 7.7313
Ag 1.0824 3.7490 5.1355
Ag -0.0016 3.7480 -0.0004
Pm 3.6578 5.6396 4.6156
Pm 3.6594 1.8606 4.6160
```


Entry 3:
Compound: SiSeBr2N
Source: the Alexandria database
Functional: PBE
Structure: optimized geometry

Raw formation energy in meV/atom: 1080.9
Space-group type: P4/mmm (123)
Size of the total moment in Bohr magnetons per cell: 3.34

Structure (extended XYZ):
```
5
Lattice="5.1756 0.0000 0.0000 0.0000 5.1756 0.0000 0.0000 0.0000 4.8158" Properties=species:S:1:pos:R:3 pbc="T T T"
N 2.5878 2.5878 2.4079
Se 0.0000 0.0000 2.4079
Br 2.5878 0.0000 0.0000
Si 0.0000 0.0000 0.0000
Br 0.0000 2.5878 0.0000
```


Entry 4:
Compound: NdSi3
Source: the Alexandria database
Functional: PBE
Structure: optimized geometry

Raw formation energy in meV/atom: 47.9
Space-group type: I4/mmm (139)
Size of the total moment in Bohr magnetons per cell: 0.00

Structure (extended XYZ):
```
4
Lattice="-3.0356 -1.3265 -2.3719 1.7747 -3.6607 -0.2241 -2.0540 0.9283 5.6090" Properties=species:S:1:pos:R:3 pbc="T T T"
Si -1.7928 -3.1714 0.5687
Si -0.6305 -2.4936 -1.2980
Si -1.5221 -0.8875 2.4443
Nd 0.0000 0.0000 0.0000
```


Entry 5:
Compound: LaP2Ru
Source: the Alexandria database
Functional: PBE
Structure: optimized geometry

Space-group type: P4mm (99)
Calculated formation energy in kJ/mol of formula units: -130.8
Size of the total moment in Bohr magnetons per cell: 0.00

Structure (extended XYZ):
```
4
Lattice="3.3053 0.0000 0.0000 0.0000 3.3053 0.0000 0.0000 0.0000 6.6121" Properties=species:S:1:pos:R:3 pbc="T T T"
Ru 0.0000 0.0000 2.6750
La 1.6527 1.6527 5.1306
P 0.0000 0.0000 0.3251
P 1.6527 1.6527 1.7875
```


Entry 6:
Compound: GeAsP2O
Source: the Alexandria database
Functional: PBE
Structure: optimized geometry

Raw formation energy in meV/atom: 396.7
Space-group type: P4/mmm (123)
Size of the total moment in Bohr magnetons per cell: 0.00

Structure (extended XYZ):
```
5
Lattice="4.8256 0.0000 0.0000 0.0000 4.8256 0.0000 0.0000 0.0000 3.6761" Properties=species:S:1:pos:R:3 pbc="T T T"
Ge 2.4128 2.4128 1.8380
P 0.0000 2.4128 0.0000
P 2.4128 0.0000 0.0000
O 0.0000 0.0000 1.8380
As 0.0000 0.0000 0.0000
```


Entry 7:
Compound: ZnBiAu2
Source: the Alexandria database
Functional: PBE
Structure: optimized geometry

Space-group type: R3m (160)
Calculated formation energy in kJ/mol of formula units: 6.1
Size of the total moment in Bohr magnetons per cell: 0.00

Structure (extended XYZ):
```
4
Lattice="3.8360 0.0000 0.0000 1.9180 3.3221 0.0000 1.9180 1.1074 7.0361" Properties=species:S:1:pos:R:3 pbc="T T T"
Zn 5.7540 3.3221 7.0238
Au 1.9180 1.1074 1.4376
Bi 3.8360 2.2147 3.5326
Au 1.9180 1.1074 5.5961
```


Entry 8:
Compound: Sc4AgP
Source: the Alexandria database
Functional: PBE
Structure: optimized geometry

Space-group type: F-43m (216)
Calculated formation energy in kJ/mol of formula units: 195.3
Size of the total moment in Bohr magnetons per cell: 0.00

Structure (extended XYZ):
```
6
Lattice="1.3288 -5.5202 -0.1671 -3.4528 -3.8260 2.3888 -3.0028 -3.5465 -3.2668" Properties=species:S:1:pos:R:3 pbc="T T T"
Ag -3.8451 -9.6696 -0.7838
Sc -3.4274 -6.6087 -2.0313
Sc -1.9200 -4.8284 -0.3914
Sc -1.2530 -7.5995 -0.4753
P 0.0000 0.0000 0.0000
Sc -3.6533 -6.7490 0.8078
```


Entry 9:
Compound: BaSb2AuI
Source: the Alexandria database
Functional: PBE
Structure: optimized geometry

Raw formation energy in meV/atom: -261.6
Space-group type: P4/mmm (123)
Size of the total moment in Bohr magnetons per cell: 0.00

Structure (extended XYZ):
```
5
Lattice="5.4390 0.0000 0.0000 0.0000 5.4390 0.0000 0.0000 0.0000 6.0339" Properties=species:S:1:pos:R:3 pbc="T T T"
Sb 2.7195 0.0000 0.0000
Au 0.0000 0.0000 0.0000
I 0.0000 0.0000 3.0169
Sb 0.0000 2.7195 0.0000
Ba 2.7195 2.7195 3.0169
```


Entry 10:
Compound: CaScVRu2
Source: the Alexandria database
Functional: PBE
Structure: optimized geometry

Space-group type: P4/mmm (123)
Calculated formation energy in kJ/mol of formula units: 952.8
Size of the total moment in Bohr magnetons per cell: 0.16

Structure (extended XYZ):
```
5
Lattice="4.6082 0.0000 0.0000 0.0000 4.6123 0.0000 0.0000 0.0000 4.6082" Properties=species:S:1:pos:R:3 pbc="T T T"
Ru 0.0000 0.0000 2.3041
Ru 2.3041 0.0000 0.0000
Sc 0.0000 2.3062 0.0000
V 2.3041 2.3062 2.3041
Ca 0.0000 0.0000 0.0000
```


Entry 11:
Compound: PrSm2ScSe6
Source: the Alexandria database
Functional: PBE
Structure: optimized geometry

Raw formation energy in meV/atom: -1779.1
Space-group type: R3 (146)
Size of the total moment in Bohr magnetons per cell: 0.00

Structure (extended XYZ):
```
10
Lattice="-5.8724 -4.2976 0.3530 -1.6439 -3.4193 6.2195 -6.1076 2.5001 4.0283" Properties=species:S:1:pos:R:3 pbc="T T T"
Sm -6.5923 -2.9182 5.1883
Se -5.3406 -2.6535 2.5634
Pr -9.5180 -4.8975 7.5936
Se -8.2224 -2.2748 7.5887
Sm -5.9473 2.2744 3.9469
Sc -2.6307 -2.3957 2.2543
Se -8.0355 -5.4501 5.0036
Se -4.3493 -3.5387 6.9517
Se -8.9840 -1.5446 4.0800
Se -6.0483 -0.0359 5.6704
```


Entry 12:
Compound: AlAg2Pt
Source: the Alexandria database
Functional: PBE
Structure: optimized geometry

Space-group type: I-42d (122)
Calculated formation energy in kJ/mol of formula units: -38.1
Size of the total moment in Bohr magnetons per cell: 0.00

Structure (extended XYZ):
```
8
Lattice="3.7778 0.0000 0.0000 0.0000 3.7778 0.0000 1.8889 1.8889 9.9338" Properties=species:S:1:pos:R:3 pbc="T T T"
Ag 2.8333 2.8311 7.4504
Ag 4.7222 4.7244 7.4504
Pt 0.0000 0.0000 0.0000
Al 1.8889 3.7778 4.9669
Ag 2.8355 0.9444 2.4835
Al 1.8889 1.8889 0.0000
Ag 0.9423 2.8333 2.4835
Pt 3.7778 1.8889 4.9669
```


Number 1: total DFT energy (no corrections) -1.657 eV/atom. Number 2: total DFT energy (no corrections) -4.158 eV/atom. Number 3: total DFT energy (no corrections) -3.035 eV/atom. Number 4: total DFT energy (no corrections) -5.211 eV/atom. Number 5: total DFT energy (no corrections) -6.595 eV/atom. Number 6: total DFT energy (no corrections) -4.612 eV/atom. Number 7: total DFT energy (no corrections) -2.912 eV/atom. Number 8: total DFT energy (no corrections) -5.261 eV/atom. Number 9: total DFT energy (no corrections) -3.261 eV/atom. Number 10: total DFT energy (no corrections) -5.226 eV/atom. Number 11: total DFT energy (no corrections) -5.925 eV/atom. Number 12: total DFT energy (no corrections) -3.970 eV/atom.